A plane-wave DFT calculation with GGA-PBE was carried out for a geometry-optimized CeDy6Tm3 structure.

Unit cell a=6.102 b=6.107 c=9.316 alpha=70.94 beta=70.92 gamma=80.27
Fractional coordinates of all 10 atoms:
Ce (0.000, 0.000, 0.000)
Dy (0.199, 0.002, 0.601)
Dy (0.296, 0.500, 0.900)
Dy (0.400, 0.999, 0.200)
Dy (0.600, 0.001, 0.800)
Dy (0.704, 0.500, 0.100)
Dy (0.801, 0.998, 0.399)
Tm (0.098, 0.502, 0.300)
Tm (0.500, 0.500, 0.500)
Tm (0.902, 0.498, 0.700)

Properties
Fermi-level density of states   16.41 states/eV per cell
V   309.3 Å³/f.u.
ΔE_f   0.04 eV per atom
DFT total energy   -46.6 eV/f.u.
Space-group type   No. 2
Crystal system   triclinic